Record 1
The following is a DFT calculation (PBE) of an optimized crystal structure of Ta3Ni5.

The structure in extended XYZ format:
```
16
Lattice="6.837 -0.429 0.000 -5.569 5.118 0.000 -0.634 -2.344 6.700" Properties=species:S:1:pos:R:3 pbc="T T T"
Ni 2.996 1.285 1.366
Ni -0.597 2.495 4.667
Ni 0.685 0.375 4.638
Ni -3.840 1.714 5.334
Ni -1.604 0.508 5.989
Ni 5.232 0.079 0.711
Ni -0.597 2.495 2.033
Ni -2.605 2.588 3.350
Ni 2.662 -0.027 3.350
Ni 0.685 0.375 2.063
Ta -2.581 3.890 1.118
Ta 1.786 2.650 3.350
Ta 0.098 -1.654 6.229
Ta 1.366 3.035 0.472
Ta 2.988 -1.228 5.583
Ta -1.647 0.219 3.350
```

Values from the calculation:
DFT formation energy   -0.1548 eV per atom
Total DFT energy (no corrections)   -8.21 eV/atom



Record 2
The following is a DFT calculation (PBE) of an optimized crystal structure of HoTmTeSe.

The structure in extended XYZ format:
```
4
Lattice="4.047 -0.001 0.000 -2.024 3.506 0.000 -2.023 -1.168 7.262" Properties=species:S:1:pos:R:3 pbc="T T T"
Se -1.641 0.913 6.315
Ho -1.641 3.250 0.626
Tm 0.382 -0.256 4.701
Te 2.406 0.912 2.661
```

Values from the calculation:
Uncorrected formation energy   -1499 meV per atom
Total DFT energy (no corrections)   -5.42 eV/atom



Record 3
The following is a DFT calculation (PBE) of an optimized crystal structure of Sn2BF.

The structure in extended XYZ format:
```
8
Lattice="-4.964 -0.999 -2.106 1.501 -5.161 -1.090 -3.526 -4.653 3.377" Properties=species:S:1:pos:R:3 pbc="T T T"
Sn -0.712 -4.543 -0.163
Sn -5.720 -8.725 -0.232
Sn -3.899 -5.954 1.302
Sn -3.648 -2.403 -0.546
F 0.000 0.000 0.000
F -5.111 -4.366 -0.164
B -1.731 -3.080 -1.598
B -1.879 -6.447 0.344
```

Values from the calculation:
Uncorrected formation energy   -168 meV per atom
Total DFT energy (no corrections)   -4.31 eV/atom



Record 4
The following is a DFT calculation (PBE) of an optimized crystal structure of Ti5Nb2GaOs2.

The structure in extended XYZ format:
```
20
Lattice="3.085 0.000 0.000 0.000 10.596 0.000 0.000 0.000 10.596" Properties=species:S:1:pos:R:3 pbc="T T T"
Nb 0.000 7.186 1.888
Nb 0.000 3.410 8.708
Nb 0.000 1.888 3.410
Nb 0.000 8.708 7.186
Os 0.000 9.120 3.821
Os 0.000 1.477 6.775
Os 0.000 3.821 1.477
Os 0.000 6.775 9.120
Ti 1.542 2.156 0.424
Ti 1.542 5.298 0.000
Ti 1.542 5.722 7.454
Ti 1.542 7.454 4.874
Ti 1.542 0.424 8.441
Ti 1.542 8.441 10.172
Ti 1.542 0.000 5.298
Ti 1.542 4.874 3.142
Ti 1.542 3.142 5.722
Ti 1.542 10.172 2.156
Ga 0.000 5.298 5.298
Ga 0.000 0.000 0.000
```

Values from the calculation:
DFT formation energy   -0.1358 eV per atom
Total DFT energy (no corrections)   -8.65 eV/atom



Among the records above, which one has the lowest total DFT energy (no corrections)?
Ti5Nb2GaOs2